The following is a DFT calculation (PBE) of Co3AgCl after structural relaxation.

**Electronic total energy**: -22.30 eV per cell
**Energy relative to the elements, uncorrected**: 72 kJ per mole of atoms

```
Co3AgCl
1.0
-2.734 -0.492 -3.063
-1.134 -3.641 1.597
-2.887 1.896 2.273
Co Ag Cl
3 1 1
direct
0.000 0.000 0.500
0.000 0.500 0.000
0.500 0.000 0.000
0.500 0.500 0.500
0.000 0.000 0.000
```